(1)
This record from the Alexandria database describes a relaxed Ce2Ga2Ge4Rh crystal. The functional is GGA-PBE.

Unit cell a=6.2527 b=6.2527 c=6.2527 alpha=91.88 beta=118.92 gamma=118.92
Element x y z (fractional)
Ge (0.4438, 0.7219, 0.7219)
Ge (0.0000, 0.7219, 0.2781)
Ge (0.0000, 0.2781, 0.7219)
Ge (0.5562, 0.2781, 0.2781)
Ga (0.0000, 0.2868, 0.2868)
Ga (0.0000, 0.7132, 0.7132)
Ce (0.5000, 0.7500, 0.2500)
Ce (0.5000, 0.2500, 0.7500)
Rh (0.0000, 0.0000, 0.0000)

Output
Fermi-level density of states	1.23	states/eV per atom
energy of formation	-517	kJ/mol of formula units



(2)
This record from the Alexandria database describes a relaxed CrNi2Pt crystal. The functional is GGA-PBE.

Unit cell a=2.6271 b=3.6237 c=5.1707 alpha=90.00 beta=90.00 gamma=90.00
Element x y z (fractional)
Pt (0.0000, 0.0000, 0.5037)
Ni (0.5000, 0.5000, 0.2283)
Ni (0.0000, 0.0000, 0.0016)
Cr (0.5000, 0.5000, 0.7664)

Output
Fermi-level density of states	1.18	states/eV per atom
energy of formation	-34	kJ/mol of formula units



(3)
This record from the Alexandria database describes a relaxed Na4Ac3InSe8 crystal. The functional is GGA-PBE.

Unit cell a=8.7964 b=8.7069 c=8.7958 alpha=120.34 beta=120.00 gamma=90.00
Element x y z (fractional)
Se (0.2325, 0.2611, 0.9968)
Se (0.2357, 0.7389, 0.0032)
Se (0.2358, 0.7390, 0.4716)
Se (0.7642, 0.2610, 0.5284)
Se (0.7643, 0.2611, 0.9968)
Se (0.7675, 0.7389, 0.0032)
Se (0.2511, 0.2534, 0.5022)
Se (0.7489, 0.7466, 0.4978)
Na (0.0000, 0.0000, 0.5000)
Na (0.5000, 0.0000, 0.0000)
Na (0.0000, 0.0000, 0.0000)
Na (0.5000, 0.0000, 0.5000)
In (0.0000, 0.5000, 0.0000)
Ac (0.5000, 0.5000, 0.5000)
Ac (0.0000, 0.5000, 0.5000)
Ac (0.5000, 0.5000, 0.0000)

Output
E_form (uncorrected)	-1.454	eV/atom



(4)
This record from the Alexandria database describes a relaxed Be2NbNiAg crystal. The functional is GGA-PBE.

Unit cell a=4.0087 b=4.5966 c=4.0087 alpha=90.00 beta=90.00 gamma=90.00
Element x y z (fractional)
Ni (0.0000, 0.0000, 0.0000)
Nb (0.5000, 0.5000, 0.5000)
Ag (0.0000, 0.5000, 0.0000)
Be (0.0000, 0.0000, 0.5000)
Be (0.5000, 0.0000, 0.0000)

Output
Fermi-level density of states	0.89	states/eV per atom
energy of formation	337	kJ/mol of formula units



(5)
This record from the Alexandria database describes a relaxed Ga2AsS6 crystal. The functional is GGA-PBE.

Unit cell a=6.4185 b=8.9064 c=8.9064 alpha=92.38 beta=71.55 gamma=71.55
Element x y z (fractional)
S (0.9415, 0.1897, 0.0333)
S (0.3463, 0.3877, 0.8629)
S (0.1537, 0.1371, 0.6123)
S (0.6339, 0.3254, 0.4499)
S (0.0585, 0.8103, 0.9667)
S (0.5585, 0.9667, 0.8103)
S (0.1339, 0.4499, 0.3254)
S (0.8463, 0.8629, 0.3877)
S (0.6537, 0.6123, 0.1371)
S (0.8661, 0.5501, 0.6746)
S (0.3661, 0.6746, 0.5501)
S (0.4415, 0.0333, 0.1897)
Ga (0.8722, 0.3951, 0.2266)
Ga (0.6278, 0.7734, 0.6049)
Ga (0.3722, 0.2266, 0.3951)
Ga (0.1278, 0.6049, 0.7734)
As (0.2500, 0.1775, 0.8225)
As (0.7500, 0.8225, 0.1775)

Output
E_form (uncorrected)	-0.209	eV/atom



(6)
This record from the Alexandria database describes a relaxed MnFeIr2 crystal. The functional is GGA-PBE.

Unit cell a=2.8085 b=2.8085 c=6.8017 alpha=90.00 beta=90.00 gamma=90.00
Element x y z (fractional)
Ir (0.5000, 0.5000, 0.2686)
Ir (0.0000, 0.0000, 0.9803)
Mn (0.0000, 0.0000, 0.5097)
Fe (0.5000, 0.5000, 0.7414)

Output
Fermi-level density of states	0.87	states/eV per atom
energy of formation	6	kJ/mol of formula units



(7)
This record from the Alexandria database describes a relaxed Cd3TcI crystal. The functional is GGA-PBE.

Unit cell a=5.4695 b=5.4695 c=5.4695 alpha=90.00 beta=90.00 gamma=90.00
Element x y z (fractional)
Cd (0.0000, 0.0000, 0.5000)
Cd (0.0000, 0.5000, 0.0000)
Cd (0.5000, 0.0000, 0.0000)
Tc (0.0000, 0.0000, 0.0000)
I (0.5000, 0.5000, 0.5000)

Output
Fermi-level density of states	0.56	states/eV per atom
E_form (uncorrected)	0.664	eV/atom



(8)
This record from the Alexandria database describes a relaxed Pr6CdN3 crystal. The functional is GGA-PBE.

Unit cell a=6.8081 b=6.8081 c=7.1899 alpha=90.00 beta=118.26 gamma=120.00
Element x y z (fractional)
N (0.3284, 0.6642, 0.9926)
N (0.6626, 0.3313, 0.9939)
N (0.2871, 0.1436, 0.4307)
Pr (0.8239, 0.0656, 0.2236)
Pr (0.1580, 0.7582, 0.2236)
Pr (0.4020, 0.4795, 0.7438)
Pr (0.4654, 0.3997, 0.2236)
Pr (0.8212, 0.3418, 0.7438)
Pr (0.2643, 0.9225, 0.7438)
Cd (0.7871, 0.8936, 0.6807)

Output
Fermi-level density of states	0.59	states/eV per atom
E_form (uncorrected)	-0.689	eV/atom



(9)
This record from the Alexandria database describes a relaxed PaBe2Cu2O7 crystal. The functional is GGA-PBE.

Unit cell a=5.1009 b=5.1009 c=7.6919 alpha=70.64 beta=70.64 gamma=60.00
Element x y z (fractional)
O (0.2912, 0.8943, 0.1946)
O (0.7088, 0.3800, 0.8054)
O (0.5000, 0.5000, 0.5000)
O (0.3800, 0.1057, 0.8054)
O (0.6200, 0.2912, 0.1946)
O (0.8943, 0.6200, 0.1946)
O (0.1057, 0.7088, 0.8054)
Cu (0.7449, 0.7449, 0.7652)
Cu (0.2551, 0.2551, 0.2348)
Pa (0.0000, 0.0000, 0.0000)
Be (0.5721, 0.5721, 0.2837)
Be (0.4279, 0.4279, 0.7163)

Output
Fermi-level density of states	0.82	states/eV per atom
E_form (uncorrected)	-1.826	eV/atom



(10)
This record from the Alexandria database describes a relaxed Pm5Mg4Ni crystal. The functional is GGA-PBE.

Unit cell a=3.7290 b=3.7290 c=19.4714 alpha=90.00 beta=90.00 gamma=90.00
Element x y z (fractional)
Pm (0.5000, 0.5000, 0.2930)
Pm (0.5000, 0.5000, 0.9174)
Pm (0.5000, 0.5000, 0.0826)
Pm (0.5000, 0.5000, 0.5000)
Pm (0.5000, 0.5000, 0.7070)
Mg (0.0000, 0.0000, 0.1901)
Mg (0.0000, 0.0000, 0.6038)
Mg (0.0000, 0.0000, 0.3962)
Mg (0.0000, 0.0000, 0.8099)
Ni (0.0000, 0.0000, 0.0000)

Output
Fermi-level density of states	0.94	states/eV per atom
energy of formation	-118	kJ/mol of formula units